1.
DFT (SCAN) results for a crystal of YTa2Cl relaxed with PBEsol.

energy = -41.809 eV per atom
energy above the most stable polymorph in this dataset = 2.41 eV/f.u.
density of states at the Fermi level = 3.06 states/eV per cell
ΔE_f (raw) = 437 meV/atom

Cell and atoms, written as CIF:
```
data_YTa2Cl
_chemical_formula_sum 'Y1 Ta2 Cl1'
_cell_length_a 2.9754
_cell_length_b 2.9754
_cell_length_c 9.5451
_cell_angle_alpha 90.00
_cell_angle_beta 90.00
_cell_angle_gamma 114.48
_symmetry_space_group_name_H-M 'P 1'
_symmetry_Int_Tables_number 1
loop_
_symmetry_equiv_pos_as_xyz
'x,y,z'
loop_
_atom_site_label
_atom_site_type_symbol
_atom_site_fract_x
_atom_site_fract_y
_atom_site_fract_z
_atom_site_occupancy
Y1 Y 0.0000 0.0000 0.0000 1
Ta1 Ta 0.5000 0.5000 0.2776 1
Ta2 Ta 0.5000 0.5000 0.7224 1
Cl1 Cl 0.0000 0.0000 0.5000 1
```

***

2.
DFT (SCAN) results for a crystal of CoIrSe2 relaxed with PBEsol.

energy = -31.596 eV per atom
density of states at the Fermi level = 2.11 states/eV per cell
ΔE_f (raw) = 544 meV/atom

Cell and atoms, written as CIF:
```
data_CoIrSe2
_chemical_formula_sum 'Co1 Ir1 Se2'
_cell_length_a 5.3576
_cell_length_b 5.3576
_cell_length_c 5.3576
_cell_angle_alpha 148.98
_cell_angle_beta 131.24
_cell_angle_gamma 58.92
_symmetry_space_group_name_H-M 'P 1'
_symmetry_Int_Tables_number 1
loop_
_symmetry_equiv_pos_as_xyz
'x,y,z'
loop_
_atom_site_label
_atom_site_type_symbol
_atom_site_fract_x
_atom_site_fract_y
_atom_site_fract_z
_atom_site_occupancy
Co1 Co 0.0000 0.0000 0.0000 1
Ir1 Ir 0.7515 0.2515 0.5000 1
Se1 Se 0.2159 0.7159 0.5000 1
Se2 Se 0.5111 0.5111 0.0000 1
```

***

3.
DFT (SCAN) results for a crystal of BaSrSe2 relaxed with PBEsol.

energy = -27.786 eV per atom
energy above the most stable polymorph in this dataset = 0.09 eV/f.u.
density of states at the Fermi level = 0.00 states/eV per cell
ΔE_f (raw) = -2290 meV/atom

Cell and atoms, written as CIF:
```
data_BaSrSe2
_chemical_formula_sum 'Ba1 Sr1 Se2'
_cell_length_a 4.5338
_cell_length_b 4.5338
_cell_length_c 6.4096
_cell_angle_alpha 90.00
_cell_angle_beta 90.00
_cell_angle_gamma 90.00
_symmetry_space_group_name_H-M 'P 1'
_symmetry_Int_Tables_number 1
loop_
_symmetry_equiv_pos_as_xyz
'x,y,z'
loop_
_atom_site_label
_atom_site_type_symbol
_atom_site_fract_x
_atom_site_fract_y
_atom_site_fract_z
_atom_site_occupancy
Ba1 Ba 0.0000 0.0000 0.0000 1
Sr1 Sr 0.5000 0.5000 0.5000 1
Se1 Se 0.0000 0.0000 0.5000 1
Se2 Se 0.5000 0.5000 0.0000 1
```

***

4.
DFT (SCAN) results for a crystal of Zr2CdAg relaxed with PBEsol.

energy = -30.932 eV per atom
ΔH_f (0 K) = -13.22 kJ/mol of atoms
density of states at the Fermi level = 1.57 states/eV per cell

Cell and atoms, written as CIF:
```
data_Zr2CdAg
_chemical_formula_sum 'Zr2 Cd1 Ag1'
_cell_length_a 3.4464
_cell_length_b 3.4464
_cell_length_c 6.7732
_cell_angle_alpha 90.00
_cell_angle_beta 90.00
_cell_angle_gamma 90.00
_symmetry_space_group_name_H-M 'P 1'
_symmetry_Int_Tables_number 1
loop_
_symmetry_equiv_pos_as_xyz
'x,y,z'
loop_
_atom_site_label
_atom_site_type_symbol
_atom_site_fract_x
_atom_site_fract_y
_atom_site_fract_z
_atom_site_occupancy
Zr1 Zr 0.0000 0.0000 0.0000 1
Zr2 Zr 0.5000 0.5000 0.2762 1
Cd1 Cd 0.5000 0.5000 0.7406 1
Ag1 Ag 0.0000 0.0000 0.5183 1
```

***

5.
DFT (SCAN) results for a crystal of Mn2CdIr relaxed with PBEsol.

energy = -34.276 eV per atom
ΔH_f (0 K) = 22.18 kJ/mol of atoms
density of states at the Fermi level = 3.65 states/eV per cell

Cell and atoms, written as CIF:
```
data_Mn2CdIr
_chemical_formula_sum 'Mn2 Cd1 Ir1'
_cell_length_a 4.6123
_cell_length_b 4.6123
_cell_length_c 4.7673
_cell_angle_alpha 99.97
_cell_angle_beta 99.97
_cell_angle_gamma 34.55
_symmetry_space_group_name_H-M 'P 1'
_symmetry_Int_Tables_number 1
loop_
_symmetry_equiv_pos_as_xyz
'x,y,z'
loop_
_atom_site_label
_atom_site_type_symbol
_atom_site_fract_x
_atom_site_fract_y
_atom_site_fract_z
_atom_site_occupancy
Mn1 Mn 0.2402 0.2402 0.1900 1
Mn2 Mn 0.7598 0.7598 0.8100 1
Cd1 Cd 0.0000 0.0000 0.5000 1
Ir1 Ir 0.5000 0.5000 0.0000 1
```

***

6.
DFT (SCAN) results for a crystal of Ni2TeBr relaxed with PBEsol.

energy = -21.254 eV per atom
density of states at the Fermi level = 5.31 states/eV per cell
ΔE_f (raw) = 1010 meV/atom

Cell and atoms, written as CIF:
```
data_Ni2TeBr
_chemical_formula_sum 'Ni2 Te1 Br1'
_cell_length_a 4.6106
_cell_length_b 4.6106
_cell_length_c 4.6106
_cell_angle_alpha 60.00
_cell_angle_beta 60.00
_cell_angle_gamma 60.00
_symmetry_space_group_name_H-M 'P 1'
_symmetry_Int_Tables_number 1
loop_
_symmetry_equiv_pos_as_xyz
'x,y,z'
loop_
_atom_site_label
_atom_site_type_symbol
_atom_site_fract_x
_atom_site_fract_y
_atom_site_fract_z
_atom_site_occupancy
Ni1 Ni 0.0000 0.0000 0.0000 1
Ni2 Ni 0.2500 0.2500 0.2500 1
Te1 Te 0.5000 0.5000 0.5000 1
Br1 Br 0.7500 0.7500 0.7500 1
```

***

7.
DFT (SCAN) results for a crystal of La2AsP relaxed with PBEsol.

energy = -30.988 eV per atom
ΔH_f (0 K) = -172.49 kJ/mol of atoms
energy above the most stable polymorph in this dataset = 0.00 eV/f.u.
density of states at the Fermi level = 0.20 states/eV per cell

Cell and atoms, written as CIF:
```
data_La2AsP
_chemical_formula_sum 'La2 As1 P1'
_cell_length_a 7.4001
_cell_length_b 7.4001
_cell_length_c 7.4001
_cell_angle_alpha 33.55
_cell_angle_beta 33.55
_cell_angle_gamma 33.55
_symmetry_space_group_name_H-M 'P 1'
_symmetry_Int_Tables_number 1
loop_
_symmetry_equiv_pos_as_xyz
'x,y,z'
loop_
_atom_site_label
_atom_site_type_symbol
_atom_site_fract_x
_atom_site_fract_y
_atom_site_fract_z
_atom_site_occupancy
La1 La 0.2480 0.2480 0.2480 1
La2 La 0.7520 0.7520 0.7520 1
As1 As 0.0000 0.0000 0.0000 1
P1 P 0.5000 0.5000 0.5000 1
```

***

8.
DFT (SCAN) results for a crystal of LaBC2 relaxed with PBEsol.

energy = -17.478 eV per atom
ΔH_f (0 K) = 19.78 kJ/mol of atoms
density of states at the Fermi level = 0.34 states/eV per cell

Cell and atoms, written as CIF:
```
data_LaBC2
_chemical_formula_sum 'La2 B2 C4'
_cell_length_a 5.8908
_cell_length_b 5.8908
_cell_length_c 5.8908
_cell_angle_alpha 138.08
_cell_angle_beta 138.08
_cell_angle_gamma 60.78
_symmetry_space_group_name_H-M 'P 1'
_symmetry_Int_Tables_number 1
loop_
_symmetry_equiv_pos_as_xyz
'x,y,z'
loop_
_atom_site_label
_atom_site_type_symbol
_atom_site_fract_x
_atom_site_fract_y
_atom_site_fract_z
_atom_site_occupancy
La1 La 0.3750 0.6250 0.7500 1
La2 La 0.6250 0.3750 0.2500 1
B1 B 0.1250 0.8750 0.2500 1
B2 B 0.8750 0.1250 0.7500 1
C1 C 0.0000 0.0000 0.0000 1
C2 C 0.0000 0.0000 0.5000 1
C3 C 0.0000 0.5000 0.0000 1
C4 C 0.5000 0.0000 0.5000 1
```

***

9.
DFT (SCAN) results for a crystal of SrMnOs2 relaxed with PBEsol.

energy = -45.654 eV per atom
ΔH_f (0 K) = 40.40 kJ/mol of atoms
density of states at the Fermi level = 2.11 states/eV per cell

Cell and atoms, written as CIF:
```
data_SrMnOs2
_chemical_formula_sum 'Sr1 Mn1 Os2'
_cell_length_a 2.8752
_cell_length_b 2.8752
_cell_length_c 8.6270
_cell_angle_alpha 90.00
_cell_angle_beta 90.00
_cell_angle_gamma 90.00
_symmetry_space_group_name_H-M 'P 1'
_symmetry_Int_Tables_number 1
loop_
_symmetry_equiv_pos_as_xyz
'x,y,z'
loop_
_atom_site_label
_atom_site_type_symbol
_atom_site_fract_x
_atom_site_fract_y
_atom_site_fract_z
_atom_site_occupancy
Sr1 Sr 0.0000 0.0000 0.0000 1
Mn1 Mn 0.5000 0.5000 0.3238 1
Os1 Os 0.0000 0.0000 0.5267 1
Os2 Os 0.5000 0.5000 0.7149 1
```

***

10.
DFT (SCAN) results for a crystal of Ti3O5 relaxed with PBEsol.

energy = -13.126 eV per atom
energy above the most stable polymorph in this dataset = 0.04 eV/f.u.
density of states at the Fermi level = 6.46 states/eV per cell
ΔE_f (raw) = -3220 meV/atom

Cell and atoms, written as CIF:
```
data_Ti3O5
_chemical_formula_sum 'Ti6 O10'
_cell_length_a 5.2120
_cell_length_b 5.2120
_cell_length_c 9.8605
_cell_angle_alpha 91.01
_cell_angle_beta 91.01
_cell_angle_gamma 42.52
_symmetry_space_group_name_H-M 'P 1'
_symmetry_Int_Tables_number 1
loop_
_symmetry_equiv_pos_as_xyz
'x,y,z'
loop_
_atom_site_label
_atom_site_type_symbol
_atom_site_fract_x
_atom_site_fract_y
_atom_site_fract_z
_atom_site_occupancy
Ti1 Ti 0.1300 0.1300 0.0487 1
Ti2 Ti 0.1350 0.1350 0.4341 1
Ti3 Ti 0.1980 0.1980 0.7572 1
Ti4 Ti 0.8020 0.8020 0.2428 1
Ti5 Ti 0.8650 0.8650 0.5659 1
Ti6 Ti 0.8700 0.8700 0.9513 1
O1 O 0.0443 0.0443 0.8669 1
O2 O 0.0514 0.0514 0.6152 1
O3 O 0.2378 0.2378 0.2489 1
O4 O 0.3135 0.3135 0.5724 1
O5 O 0.3226 0.3226 0.9377 1
O6 O 0.6774 0.6774 0.0623 1
O7 O 0.6865 0.6865 0.4276 1
O8 O 0.7622 0.7622 0.7511 1
O9 O 0.9486 0.9486 0.3848 1
O10 O 0.9557 0.9557 0.1331 1
```

***

11.
DFT (SCAN) results for a crystal of Na2YOsAu relaxed with PBEsol.

energy = -33.531 eV per atom
ΔH_f (0 K) = 186.30 kJ/mol of atoms
density of states at the Fermi level = 2.51 states/eV per cell

Cell and atoms, written as CIF:
```
data_Na2YOsAu
_chemical_formula_sum 'Na2 Y1 Os1 Au1'
_cell_length_a 5.4080
_cell_length_b 5.4080
_cell_length_c 4.9982
_cell_angle_alpha 90.00
_cell_angle_beta 90.00
_cell_angle_gamma 90.00
_symmetry_space_group_name_H-M 'P 1'
_symmetry_Int_Tables_number 1
loop_
_symmetry_equiv_pos_as_xyz
'x,y,z'
loop_
_atom_site_label
_atom_site_type_symbol
_atom_site_fract_x
_atom_site_fract_y
_atom_site_fract_z
_atom_site_occupancy
Na1 Na 0.0000 0.5000 0.0000 1
Na2 Na 0.5000 0.0000 0.0000 1
Y1 Y 0.0000 0.0000 0.0000 1
Os1 Os 0.5000 0.5000 0.5000 1
Au1 Au 0.0000 0.0000 0.5000 1
```

***

12.
DFT (SCAN) results for a crystal of Ni3SCl relaxed with PBEsol.

energy = -12.961 eV per atom
density of states at the Fermi level = 5.01 states/eV per cell
ΔE_f (raw) = 264 meV/atom

Cell and atoms, written as CIF:
```
data_Ni3SCl
_chemical_formula_sum 'Ni3 S1 Cl1'
_cell_length_a 4.1701
_cell_length_b 4.1701
_cell_length_c 4.1701
_cell_angle_alpha 90.00
_cell_angle_beta 90.00
_cell_angle_gamma 90.00
_symmetry_space_group_name_H-M 'P 1'
_symmetry_Int_Tables_number 1
loop_
_symmetry_equiv_pos_as_xyz
'x,y,z'
loop_
_atom_site_label
_atom_site_type_symbol
_atom_site_fract_x
_atom_site_fract_y
_atom_site_fract_z
_atom_site_occupancy
Ni1 Ni 0.0000 0.0000 0.5000 1
Ni2 Ni 0.0000 0.5000 0.0000 1
Ni3 Ni 0.5000 0.0000 0.0000 1
S1 S 0.0000 0.0000 0.0000 1
Cl1 Cl 0.5000 0.5000 0.5000 1
```

***

Number 6 is which compound? Ni2TeBr

***

What is the energy in the eighth record? -17.478 eV per atom